# MnAsBr2O GGA+U optimized geometry
# - energy (eV per atom) = -3.541
# - energy relative to the lowest polymorph listed for this composition (meV per atom) = 151
data_MnAsBr2O
_chemical_formula_sum 'Mn1 As1 Br2 O1'
_space_group_name_H-M_alt 'P 1'
_space_group_IT_number 1
_space_group_name_Hall 'P 1'
_cell_length_a 5.1112
_cell_length_b 5.1112
_cell_length_c 5.2475
_cell_angle_alpha 90.00
_cell_angle_beta 90.00
_cell_angle_gamma 90.00
loop_
_atom_site_label
_atom_site_type_symbol
_atom_site_fract_x
_atom_site_fract_y
_atom_site_fract_z
Mn1 Mn 0.0000 0.0000 0.0000
As1 As 0.0000 0.0000 0.5000
Br1 Br 0.0000 0.5000 0.0000
Br2 Br 0.5000 0.0000 0.0000
O1 O 0.5000 0.5000 0.5000